{
  "formula": "Ta2BBr2",
  "functional": "PBE",
  "state": "optimized geometry",
  "crystal_system": "tetragonal",
  "spacegroup": "P4/mbm (127)",
  "volume_a3_per_cell": 177.33,
  "formation_energy_uncorrected_mev_per_atom": 1485,
  "de_polymorph_mev_per_atom": 172,
  "cell": [[7.6985, 0.0000, 0.0000], [0.0000, 7.6985, 0.0000], [0.0000, 0.0000, 2.9921]],
  "species": ["B", "B", "Br", "Br", "Br", "Br", "Ta", "Ta", "Ta", "Ta"],
  "fractional_positions": [[0.5000, 0.5000, 0.0000], [0.0000, 0.0000, 0.0000], [0.8694, 0.6306, 0.0000], [0.1306, 0.3694, 0.0000], [0.3694, 0.8694, 0.0000], [0.6306, 0.1306, 0.0000], [0.6778, 0.8222, 0.5000], [0.8222, 0.3222, 0.5000], [0.3222, 0.1778, 0.5000], [0.1778, 0.6778, 0.5000]]
}


{
  "formula": "TaB3Br",
  "functional": "PBE",
  "state": "optimized geometry",
  "crystal_system": "cubic",
  "spacegroup": "Pm-3m (221)",
  "volume_a3_per_cell": 90.99,
  "formation_energy_uncorrected_mev_per_atom": 1861,
  "de_polymorph_mev_per_atom": 0,
  "cell": [[-1.9531, 2.5774, 3.1261], [-4.0375, -1.5277, -1.2629], [0.3381, -3.3546, 2.9770]],
  "species": ["B", "B", "B", "Ta", "Br"],
  "fractional_positions": [[0.0000, 0.5000, 0.0000], [0.0000, 0.0000, 0.5000], [0.5000, 0.0000, 0.0000], [0.0000, 0.0000, 0.0000], [0.5000, 0.5000, 0.5000]]
}


Q: Number 1 is which compound?
A: Ta2BBr2